Computed, not measured: crystalline Li2MnP2O7 at its relaxed geometry at the GGA+U level of DFT.

```
Li2MnP2O7
1.0
5.233 0.000 0.000
1.136 7.289 0.000
0.656 3.413 7.644
Li Mn P O
4 2 4 14
direct
0.196 0.321 0.062
0.205 0.369 0.494
0.795 0.631 0.506
0.804 0.679 0.938
0.321 0.779 0.220
0.679 0.221 0.780
0.240 0.949 0.799
0.271 0.635 0.675
0.729 0.365 0.325
0.760 0.051 0.201
0.051 0.044 0.155
0.095 0.540 0.832
0.163 0.651 0.503
0.284 0.866 0.646
0.327 0.159 0.712
0.413 0.808 0.954
0.446 0.464 0.301
0.554 0.536 0.699
0.587 0.192 0.046
0.673 0.841 0.288
0.716 0.134 0.354
0.837 0.349 0.497
0.905 0.460 0.168
0.949 0.956 0.845
```

Results
Its symmetry is P-1 (2). The calculation puts the density of states at the Fermi level at 0.000 states/eV/atom. Its final energy is -6.9933 eV per atom.